# RbTl2SiTe4 | the Alexandria database | PBE-GGA | optimized geometry
# **Formation energy from raw total energies**: -1.26 eV per formula unit
# **Volume**: 1183.26 Å³/cell
data_RbTl2SiTe4
_cell_length_a 7.2404
_cell_length_b 12.3253
_cell_length_c 13.2592
_cell_angle_alpha 90.00
_cell_angle_beta 90.00
_cell_angle_gamma 90.00
_symmetry_space_group_name_H-M 'I m m a'
_symmetry_Int_Tables_number 74
_symmetry_space_group_name_Hall '-I 2b 2'
loop_
_atom_site_label
_atom_site_type_symbol
_atom_site_fract_x
_atom_site_fract_y
_atom_site_fract_z
Rb1 Rb 0.0000 0.0000 0.0000
Tl1 Tl 0.0000 0.0000 0.5000
Tl2 Tl 0.2500 0.2500 0.2500
Si1 Si 0.2500 0.2500 0.7500
Te1 Te 0.0000 0.0878 0.7496
Te2 Te 0.1999 0.2500 0.5118